An optimized crystal structure of HgSe2O, computed with PBE.

Values from the calculation:
DFT total energy   -2.681 eV per atom
Symmetry   No. 166
ΔE to the lowest computed polymorph   256 meV per atom
ΔE_f (raw)   0.376 eV per atom
Magnetization   0.22 μB per formula unit

Cell: 8.889 8.889 8.889 Å, 26.52 26.52 26.52°
Positions (direct):
Hg 0.000 0.000 0.000
Se 0.148 0.148 0.148
Se 0.852 0.852 0.852
O 0.500 0.500 0.500

An optimized crystal structure of HgSeO3, computed with PBE.

Values from the calculation:
DFT total energy   -4.354 eV per atom
Symmetry   No. 14
ΔE_f (raw)   -0.621 eV per atom
Magnetization   0.00 μB per formula unit

Cell: 5.052 9.415 7.221 Å, 90.00 90.28 90.00°
Positions (direct):
Hg 0.212 0.172 0.462
Hg 0.212 0.328 0.962
Hg 0.788 0.672 0.038
Hg 0.788 0.828 0.538
Se 0.247 0.558 0.316
Se 0.247 0.942 0.816
Se 0.753 0.058 0.184
Se 0.753 0.442 0.684
O 0.091 0.093 0.173
O 0.091 0.407 0.673
O 0.262 0.124 0.759
O 0.262 0.376 0.259
O 0.307 0.630 0.102
O 0.307 0.870 0.602
O 0.693 0.130 0.398
O 0.693 0.370 0.898
O 0.738 0.624 0.741
O 0.738 0.876 0.241
O 0.909 0.593 0.327
O 0.909 0.907 0.827

An optimized crystal structure of Hg2SeO3, computed with PBE.

Values from the calculation:
DFT total energy   -3.251 eV per atom
Symmetry   No. 69
ΔE_f (raw)   -0.091 eV per atom
Magnetization   0.00 μB per formula unit

Cell: 10.642 9.161 7.228 Å, 80.04 57.98 41.98°
Positions (direct):
Hg 0.179 0.821 0.179
Hg 0.250 0.250 0.250
Hg 0.750 0.750 0.750
Hg 0.821 0.179 0.821
Se 0.356 0.356 0.644
Se 0.644 0.644 0.356
O 0.195 0.613 0.805
O 0.260 0.260 0.740
O 0.387 0.805 0.613
O 0.613 0.195 0.387
O 0.740 0.740 0.260
O 0.805 0.387 0.195

An optimized crystal structure of Hg2SeO, computed with PBE.

Values from the calculation:
DFT total energy   -2.425 eV per atom
Symmetry   No. 31
ΔE to the lowest computed polymorph   10 meV per atom
ΔE_f (raw)   -0.164 eV per atom
Magnetization   0.00 μB per formula unit

Cell: 4.051 8.102 5.760 Å, 90.00 90.00 90.00°
Positions (direct):
Hg 0.000 0.092 0.000
Hg 0.000 0.637 0.865
Hg 0.500 0.363 0.365
Hg 0.500 0.908 0.500
Se 0.000 0.342 0.680
Se 0.500 0.658 0.180
O 0.000 0.895 0.698
O 0.500 0.105 0.198